Here is a geometry-optimized RbBi2Ru structure from the Alexandria database. Energies are from PBE.

Results
**Space group**: Fm-3m
**Volume**: 102 Å³/cell
**D(E_F)**: 0.79 states/eV per atom
**Formation enthalpy at 0 K**: 2.24 eV per formula unit

Cell: 5.2435 5.2435 5.2435 Å, 60.00 60.00 60.00°
Sites, in units of the cell vectors:
Bi: 0.2500 0.2500 0.2500
Ru: 0.5000 0.5000 0.5000
Rb: 0.0000 0.0000 0.0000
Bi: 0.7500 0.7500 0.7500